(1)
# PBE TiAsN, relaxed
data_TiAsN
_symmetry_space_group_name_H-M 'F d d d'
_symmetry_Int_Tables_number 70
_cell_length_a 8.880
_cell_length_b 8.988
_cell_length_c 10.299
_cell_angle_alpha 90.00
_cell_angle_beta 90.00
_cell_angle_gamma 90.00
loop_
_symmetry_equiv_pos_as_xyz
'x,y,z'
'-x,-y,-z'
'-x+1/4,-y+1/4,z'
'x+1/4,y+1/4,-z'
'x,-y+1/4,-z+1/4'
'-x,y+1/4,z+1/4'
'-x+1/4,y,-z+1/4'
'x+1/4,-y,z+1/4'
'x,y+1/2,z+1/2'
'-x,-y+1/2,-z+1/2'
'-x+1/4,-y+3/4,z+1/2'
'x+1/4,y+3/4,-z+1/2'
'x,-y+3/4,-z+3/4'
'-x,y+3/4,z+3/4'
'-x+1/4,y+1/2,-z+3/4'
'x+1/4,-y+1/2,z+3/4'
'x+1/2,y,z+1/2'
'-x+1/2,-y,-z+1/2'
'-x+3/4,-y+1/4,z+1/2'
'x+3/4,y+1/4,-z+1/2'
'x+1/2,-y+1/4,-z+3/4'
'-x+1/2,y+1/4,z+3/4'
'-x+3/4,y,-z+3/4'
'x+3/4,-y,z+3/4'
'x+1/2,y+1/2,z'
'-x+1/2,-y+1/2,-z'
'-x+3/4,-y+3/4,z'
'x+3/4,y+3/4,-z'
'x+1/2,-y+3/4,-z+1/4'
'-x+1/2,y+3/4,z+1/4'
'-x+3/4,y+1/2,-z+1/4'
'x+3/4,-y+1/2,z+1/4'
loop_
_atom_site_label
_atom_site_fract_x
_atom_site_fract_y
_atom_site_fract_z
Ti1 0.081 0.375 0.375
As1 0.125 0.125 0.508
N1 0.000 0.000 0.000
# **Theoretical density**: 4.42 g cm⁻³
# **Energy relative to the elements, uncorrected**: -7.081 kcal/mol of atoms
# **Total magnetic moment**: 0.000 Bohr magnetons per cell



(2)
# PBE Ti2AsN, relaxed
data_Ti2AsN
_symmetry_space_group_name_H-M 'I -4 2 d'
_symmetry_Int_Tables_number 122
_symmetry_space_group_name_Hall 'I -4 2bw'
_cell_length_a 5.235
_cell_length_b 5.235
_cell_length_c 9.810
_cell_angle_alpha 90.00
_cell_angle_beta 90.00
_cell_angle_gamma 90.00
loop_
_atom_site_label
_atom_site_fract_x
_atom_site_fract_y
_atom_site_fract_z
Ti1 0.165 0.250 0.125
As1 0.000 0.000 0.500
N1 0.000 0.000 0.000
# **Theoretical density**: 4.56 g cm⁻³
# **Energy relative to the elements, uncorrected**: -20.361 kcal/mol of atoms
# **Total magnetic moment**: 0.000 Bohr magnetons per cell



(3)
# PBE Ti7As2N2, relaxed
data_Ti7As2N2
_symmetry_space_group_name_H-M 'C 1 2/m 1'
_symmetry_Int_Tables_number 12
_symmetry_space_group_name_Hall '-C 2y'
_cell_length_a 8.325
_cell_length_b 8.881
_cell_length_c 5.178
_cell_angle_alpha 90.00
_cell_angle_beta 105.24
_cell_angle_gamma 90.00
loop_
_atom_site_label
_atom_site_fract_x
_atom_site_fract_y
_atom_site_fract_z
Ti1 0.000 0.000 0.000
Ti2 0.128 0.500 0.712
Ti3 0.199 0.335 0.241
As1 0.000 0.245 0.500
N1 0.221 0.000 0.930
# **Theoretical density**: 4.61 g cm⁻³
# **Energy relative to the elements, uncorrected**: -14.171 kcal/mol of atoms
# **Total magnetic moment**: 0.001 Bohr magnetons per cell



(4)
# PBE Ti5As2N, relaxed
data_Ti5As2N
_symmetry_space_group_name_H-M 'C m c m'
_symmetry_Int_Tables_number 63
_symmetry_space_group_name_Hall '-C 2c 2'
_cell_length_a 4.383
_cell_length_b 12.767
_cell_length_c 10.606
_cell_angle_alpha 90.00
_cell_angle_beta 90.00
_cell_angle_gamma 90.00
loop_
_atom_site_label
_atom_site_fract_x
_atom_site_fract_y
_atom_site_fract_z
Ti1 0.000 0.075 0.128
Ti2 0.000 0.283 0.078
Ti3 0.000 0.287 0.750
As1 0.000 0.127 0.599
N1 0.000 0.201 0.250
# **Theoretical density**: 4.51 g cm⁻³
# **Energy relative to the elements, uncorrected**: -13.136 kcal/mol of atoms
# **Total magnetic moment**: 5.104 Bohr magnetons per cell



(5)
# PBE Ti2AsN, relaxed
data_Ti2AsN
_symmetry_space_group_name_H-M 'R 3 m'
_symmetry_Int_Tables_number 160
_symmetry_space_group_name_Hall 'R 3 -2"'
_cell_length_a 3.1802
_cell_length_b 3.1802
_cell_length_c 17.7962
_cell_angle_alpha 90.00
_cell_angle_beta 90.00
_cell_angle_gamma 120.00
loop_
_atom_site_label
_atom_site_fract_x
_atom_site_fract_y
_atom_site_fract_z
Ti1 0.0000 0.0000 0.0000
Ti2 0.0000 0.0000 0.2092
As1 0.0000 0.0000 0.4383
N1 0.0000 0.0000 0.6077
# **Theoretical density**: 5.90 g cm⁻³
# **Energy relative to the elements, uncorrected**: -29.085 kcal/mol of atoms
# **Total magnetic moment**: 0.000 Bohr magnetons per cell



(6)
# PBE Ti2AsN, relaxed
data_Ti2AsN
_symmetry_space_group_name_H-M 'R -3 m'
_symmetry_Int_Tables_number 166
_symmetry_space_group_name_Hall '-R 3 2"'
_cell_length_a 3.2090
_cell_length_b 3.2090
_cell_length_c 17.7441
_cell_angle_alpha 90.00
_cell_angle_beta 90.00
_cell_angle_gamma 120.00
loop_
_atom_site_label
_atom_site_fract_x
_atom_site_fract_y
_atom_site_fract_z
Ti1 0.0000 0.0000 0.2260
As1 0.0000 0.0000 0.0000
N1 0.0000 0.0000 0.5000
# **Theoretical density**: 5.81 g cm⁻³
# **Energy relative to the elements, uncorrected**: -27.765 kcal/mol of atoms
# **Total magnetic moment**: 0.000 Bohr magnetons per cell



(7)
# PBE Ti6AsN, relaxed
data_Ti6AsN
_symmetry_space_group_name_H-M 'P -1'
_symmetry_Int_Tables_number 2
_symmetry_space_group_name_Hall '-P 1'
_cell_length_a 5.361
_cell_length_b 5.370
_cell_length_c 6.106
_cell_angle_alpha 64.05
_cell_angle_beta 64.16
_cell_angle_gamma 60.07
loop_
_atom_site_label
_atom_site_fract_x
_atom_site_fract_y
_atom_site_fract_z
Ti1 0.042 0.406 0.286
Ti2 0.234 0.959 0.714
Ti3 0.406 0.766 0.287
As1 0.500 0.500 0.000
N1 0.000 0.000 0.500
# **Theoretical density**: 4.75 g cm⁻³
# **Energy relative to the elements, uncorrected**: -12.801 kcal/mol of atoms
# **Total magnetic moment**: 0.000 Bohr magnetons per cell



(8)
# PBE UTiAs2N, relaxed
data_UTiAs2N
_symmetry_space_group_name_H-M 'P 4/n m m'
_symmetry_Int_Tables_number 129
_cell_length_a 3.715
_cell_length_b 3.715
_cell_length_c 12.660
_cell_angle_alpha 90.00
_cell_angle_beta 90.00
_cell_angle_gamma 90.00
loop_
_symmetry_equiv_pos_as_xyz
'x,y,z'
'-x,-y,-z'
'-y+1/2,x,z'
'y+1/2,-x,-z'
'-x+1/2,-y+1/2,z'
'x+1/2,y+1/2,-z'
'y,-x+1/2,z'
'-y,x+1/2,-z'
'x+1/2,-y,-z'
'-x+1/2,y,z'
'-y,-x,-z'
'y,x,z'
'-x,y+1/2,-z'
'x,-y+1/2,z'
'y+1/2,x+1/2,-z'
'-y+1/2,-x+1/2,z'
loop_
_atom_site_label
_atom_site_fract_x
_atom_site_fract_y
_atom_site_fract_z
U1 0.250 0.250 0.097
Ti1 0.250 0.250 0.587
As1 0.250 0.250 0.381
As2 0.250 0.250 0.792
N1 0.250 0.750 0.000
# **Theoretical density**: 8.55 g cm⁻³
# **Energy relative to the elements, uncorrected**: -22.287 kcal/mol of atoms
# **Total magnetic moment**: 1.188 Bohr magnetons per cell



(9)
# PBE TiV2AsN, relaxed
data_TiV2AsN
_symmetry_space_group_name_H-M 'P 4/m m m'
_symmetry_Int_Tables_number 123
_symmetry_space_group_name_Hall '-P 4 2'
_cell_length_a 4.637
_cell_length_b 4.637
_cell_length_c 3.804
_cell_angle_alpha 90.00
_cell_angle_beta 90.00
_cell_angle_gamma 90.00
loop_
_atom_site_label
_atom_site_fract_x
_atom_site_fract_y
_atom_site_fract_z
Ti1 0.000 0.000 0.000
V1 0.000 0.500 0.500
As1 0.500 0.500 0.500
N1 0.500 0.500 0.000
# **Theoretical density**: 4.84 g cm⁻³
# **Energy relative to the elements, uncorrected**: 27.588 kcal/mol of atoms
# **Total magnetic moment**: 0.018 Bohr magnetons per cell



(10)
# PBE ZrTiAs2N, relaxed
data_ZrTiAs2N
_symmetry_space_group_name_H-M 'P 4/m m m'
_symmetry_Int_Tables_number 123
_symmetry_space_group_name_Hall '-P 4 2'
_cell_length_a 4.640
_cell_length_b 4.640
_cell_length_c 3.811
_cell_angle_alpha 90.00
_cell_angle_beta 90.00
_cell_angle_gamma 90.00
loop_
_atom_site_label
_atom_site_fract_x
_atom_site_fract_y
_atom_site_fract_z
Zr1 0.000 0.000 0.000
Ti1 0.500 0.500 0.000
As1 0.000 0.500 0.500
N1 0.500 0.500 0.500
# **Theoretical density**: 6.13 g cm⁻³
# **Energy relative to the elements, uncorrected**: -6.930 kcal/mol of atoms
# **Total magnetic moment**: 0.000 Bohr magnetons per cell



(11)
# PBE TlAsN, relaxed
data_TlAsN
_symmetry_space_group_name_H-M 'P 1'
_symmetry_Int_Tables_number 1
_symmetry_space_group_name_Hall 'P 1'
_cell_length_a 4.721
_cell_length_b 5.153
_cell_length_c 6.533
_cell_angle_alpha 81.29
_cell_angle_beta 88.05
_cell_angle_gamma 89.95
loop_
_atom_site_label
_atom_site_fract_x
_atom_site_fract_y
_atom_site_fract_z
Tl1 0.000 0.000 0.000
Tl2 0.478 0.896 0.528
As1 0.035 0.368 0.412
As2 0.443 0.425 0.118
N1 0.239 0.665 0.264
N2 0.739 0.253 0.265
# **Theoretical density**: 6.20 g cm⁻³
# **Energy relative to the elements, uncorrected**: 8.260 kcal/mol of atoms
# **Total magnetic moment**: 0.000 Bohr magnetons per cell



(12)
# PBE TlAs2N2, relaxed
data_TlAs2N2
_symmetry_space_group_name_H-M 'P 4/m b m'
_symmetry_Int_Tables_number 127
_symmetry_space_group_name_Hall '-P 4 2ab'
_cell_length_a 7.691
_cell_length_b 7.691
_cell_length_c 2.934
_cell_angle_alpha 90.00
_cell_angle_beta 90.00
_cell_angle_gamma 90.00
loop_
_atom_site_label
_atom_site_fract_x
_atom_site_fract_y
_atom_site_fract_z
Tl1 0.000 0.000 0.000
As1 0.110 0.390 0.500
N1 0.116 0.616 0.000
# **Theoretical density**: 7.31 g cm⁻³
# **Energy relative to the elements, uncorrected**: 28.127 kcal/mol of atoms
# **Total magnetic moment**: 0.000 Bohr magnetons per cell